LiNi2OF3: optimized geometry, GGA-PBEsol.

Structure (POSCAR):
```
LiNi2OF3
1.0
5.029 0.000 0.000
0.000 5.772 0.000
0.000 -2.886 4.998
Li Ni O F
2 4 2 6
direct
0.973 0.333 0.667
0.027 0.667 0.333
0.500 0.500 0.500
0.500 0.000 0.500
0.500 0.500 0.000
0.000 0.000 0.000
0.342 0.333 0.667
0.658 0.667 0.333
0.778 0.169 0.831
0.778 0.662 0.831
0.222 0.831 0.662
0.778 0.169 0.338
0.222 0.338 0.169
0.222 0.831 0.169
```

ρ: 4.5 g/cm3
formation energy without anion corrections: -1.58 eV per atom
offset from the most stable computed form: 5 meV/atom
Fermi-level density of states: 6.09 states/eV/f.u.
raw total energy: -5.20 eV/atom
symmetry: No. 164
crystal system: trigonal